1.
# Tb5Pr6Sc PBE optimized geometry
# M_tot, μB per formula unit: 0.00
# DFT total energy, eV per formula unit: -57.85
data_Tb5Pr6Sc
_cell_length_a 5.1488
_cell_length_b 10.0921
_cell_length_c 15.4006
_cell_angle_alpha 90.00
_cell_angle_beta 90.00
_cell_angle_gamma 90.00
_space_group_name_H-M_alt 'I m m m'
_space_group_IT_number 71
_space_group_name_Hall '-I 2 2'
loop_
_atom_site_label
_atom_site_fract_x
_atom_site_fract_y
_atom_site_fract_z
Tb1 0.0000 0.0000 0.0000
Tb2 0.0000 0.0000 0.3345
Tb3 0.0000 0.5000 0.3341
Pr1 0.0000 0.2454 0.5000
Pr2 0.0000 0.2526 0.1655
Sc1 0.0000 0.5000 0.0000

=====

2.
# TbPrSc PBE optimized geometry
# M_tot, μB per formula unit: 0.00
# Polymorph energy (0 for the lowest one), kJ/mol of formula units: 0.0
# DFT total energy, eV per formula unit: -15.57
data_TbPrSc
_cell_length_a 3.5474
_cell_length_b 3.5474
_cell_length_c 14.6729
_cell_angle_alpha 90.00
_cell_angle_beta 90.00
_cell_angle_gamma 90.00
_space_group_name_H-M_alt 'I 4 m m'
_space_group_IT_number 107
_space_group_name_Hall 'I 4 -2'
loop_
_atom_site_label
_atom_site_fract_x
_atom_site_fract_y
_atom_site_fract_z
Tb1 0.0000 0.0000 0.0000
Pr1 0.0000 0.0000 0.3209
Sc1 0.0000 0.0000 0.6576

=====

3.
# Tb5PrSc3 PBE optimized geometry
# M_tot, μB per formula unit: 0.00
# DFT total energy, eV per formula unit: -41.91
data_Tb5PrSc3
_cell_length_a 13.6344
_cell_length_b 10.7104
_cell_length_c 10.4769
_cell_angle_alpha 90.00
_cell_angle_beta 125.36
_cell_angle_gamma 90.00
_space_group_name_H-M_alt 'C 1 2/m 1'
_space_group_IT_number 12
loop_
_space_group_symop_operation_xyz
'x,y,z'
'-x,-y,-z'
'-x,y,-z'
'x,-y,z'
'x+1/2,y+1/2,z'
'-x+1/2,-y+1/2,-z'
'-x+1/2,y+1/2,-z'
'x+1/2,-y+1/2,z'
loop_
_atom_site_label
_atom_site_fract_x
_atom_site_fract_y
_atom_site_fract_z
Tb1 0.0000 0.2203 0.0000
Tb2 0.1003 0.2346 0.7369
Tb3 0.1534 0.5000 0.5925
Tb4 0.2000 0.0000 0.0121
Pr1 0.2350 0.5000 0.3327
Sc1 0.0000 0.0000 0.5000
Sc2 0.0000 0.5000 0.0000
Sc3 0.0275 0.5000 0.7629
Sc4 0.0709 0.0000 0.2589

=====

Number 1: formation energy 26 meV per atom. Number 2: formation energy 57 meV per atom. Number 3: formation energy 558 meV per atom.